1.
Entry from the Alexandria database: a relaxed structure of Li2TcAs (PBE-GGA).

abc: 4.6126 4.6126 5.0523
angles: 94.84 94.84 33.31
Fractional positions:
Li1 0.0000 0.0000 0.0000
Li2 0.2403 0.2403 0.7779
Tc1 0.7484 0.7484 0.2896
As1 0.4956 0.4956 0.4822

Summary:
Its energy of formation from the pure elements is -0.03 eV/atom. The value obtained for the electronic total energy is -18.982 eV per cell. As for the density of states at the Fermi level: 0.570 states/eV/atom.

***

2.
Entry from the Alexandria database: a relaxed structure of LiTc2As (PBE-GGA).

abc: 5.5954 5.5954 5.5954
angles: 99.25 99.25 132.73
Fractional positions:
Li1 0.0000 0.0000 0.0000
Li2 0.7500 0.2500 0.5000
Tc1 0.0541 0.1250 0.4291
Tc2 0.3750 0.9459 0.0709
Tc3 0.6959 0.6250 0.5709
Tc4 0.8750 0.3041 0.9291
As1 0.2500 0.7500 0.5000
As2 0.5000 0.5000 0.0000

Summary:
Its energy of formation from the pure elements is 0.70 eV/atom. The value obtained for the electronic total energy is -49.014 eV per cell. As for the density of states at the Fermi level: 0.629 states/eV/atom.

***

3.
Entry from the Alexandria database: a relaxed structure of LiTc2As (PBE-GGA).

abc: 3.1902 3.1902 5.3728
angles: 90.00 90.00 90.00
Fractional positions:
Li1 0.0000 0.0000 0.0000
Tc1 0.5000 0.5000 0.2422
Tc2 0.5000 0.5000 0.7578
As1 0.0000 0.0000 0.5000

Summary:
Its energy of formation from the pure elements is 0.24 eV/atom. The value obtained for the electronic total energy is -26.334 eV per cell. As for the density of states at the Fermi level: 1.165 states/eV/atom.

***

4.
Entry from the Alexandria database: a relaxed structure of LiTc2As (PBE-GGA).

abc: 4.5834 4.5834 4.4205
angles: 104.71 104.71 38.15
Fractional positions:
Li1 0.0000 0.0000 0.0000
Tc1 0.2448 0.2448 0.7755
Tc2 0.4912 0.4912 0.4864
As1 0.7443 0.7443 0.2506

Summary:
Its energy of formation from the pure elements is 0.06 eV/atom. The value obtained for the electronic total energy is -27.037 eV per cell. As for the density of states at the Fermi level: 0.865 states/eV/atom.